Density functional theory data (PBE) for crystalline SrLiHoSn at its relaxed geometry.

Values from the calculation:
Crystal system = cubic
Formation energy = -0.335 eV per atom

Lattice parameters (Å, degrees): 7.688 7.688 7.688 90.00 90.00 90.00
Element x y z (fractional)
1 Sr 0.000 0.000 0.000
2 Sr 0.000 0.500 0.500
3 Sr 0.500 0.000 0.500
4 Sr 0.500 0.500 0.000
5 Li 0.250 0.250 0.750
6 Li 0.250 0.750 0.250
7 Li 0.750 0.250 0.250
8 Li 0.750 0.750 0.750
9 Ho 0.000 0.000 0.500
10 Ho 0.000 0.500 0.000
11 Ho 0.500 0.000 0.000
12 Ho 0.500 0.500 0.500
13 Sn 0.250 0.250 0.250
14 Sn 0.250 0.750 0.750
15 Sn 0.750 0.250 0.750
16 Sn 0.750 0.750 0.250

=====

Density functional theory data (PBE) for crystalline LiTbHoSn at its relaxed geometry.

Values from the calculation:
Crystal system = cubic
Formation energy = -0.411 eV per atom

Lattice parameters (Å, degrees): 7.371 7.371 7.371 90.00 90.00 90.00
Element x y z (fractional)
1 Li 0.000 0.000 0.000
2 Li 0.000 0.500 0.500
3 Li 0.500 0.000 0.500
4 Li 0.500 0.500 0.000
5 Tb 0.250 0.250 0.250
6 Tb 0.250 0.750 0.750
7 Tb 0.750 0.250 0.750
8 Tb 0.750 0.750 0.250
9 Ho 0.250 0.250 0.750
10 Ho 0.250 0.750 0.250
11 Ho 0.750 0.250 0.250
12 Ho 0.750 0.750 0.750
13 Sn 0.000 0.000 0.500
14 Sn 0.000 0.500 0.000
15 Sn 0.500 0.000 0.000
16 Sn 0.500 0.500 0.500

=====

Density functional theory data (PBE) for crystalline Li2HoSn3Te6 at its relaxed geometry.

Values from the calculation:
Crystal system = monoclinic
Formation energy from raw total energies = -764 kJ/mol of formula units

Lattice parameters (Å, degrees): 7.571 7.571 7.717 99.40 99.40 120.08
Element x y z (fractional)
1 Li 0.172 0.828 0.000
2 Li 0.828 0.172 0.000
3 Ho 0.500 0.500 0.000
4 Sn 0.000 0.000 0.500
5 Sn 0.339 0.661 0.500
6 Sn 0.661 0.339 0.500
7 Te 0.088 0.420 0.763
8 Te 0.246 0.246 0.240
9 Te 0.420 0.088 0.763
10 Te 0.580 0.912 0.237
11 Te 0.754 0.754 0.760
12 Te 0.912 0.580 0.237

=====

Density functional theory data (PBE) for crystalline Li2Ho2TmSn2 at its relaxed geometry.

Values from the calculation:
Crystal system = trigonal
Formation energy = -0.423 eV per atom

Lattice parameters (Å, degrees): 9.147 9.147 9.147 30.14 30.14 30.14
Element x y z (fractional)
1 Li 0.101 0.101 0.101
2 Li 0.899 0.899 0.899
3 Ho 0.372 0.372 0.372
4 Ho 0.628 0.628 0.628
5 Tm 0.500 0.500 0.500
6 Sn 0.236 0.236 0.236
7 Sn 0.764 0.764 0.764

=====

Number 1: size of the total moment 0.0 μB/f.u.. Number 2: size of the total moment 0.0 μB/f.u.. Number 3: size of the total moment 0.0 μB/f.u.. Number 4: size of the total moment 0.0 μB/f.u..